1.
Here is a relaxed Li3Y2PuTe6 crystal from Alexandria via LeMat-Bulk. Energies are from PBE.

Structure (extended XYZ):
```
12
Lattice="3.7845 -6.5535 0.0000 3.7845 6.5535 0.0000 -2.5188 0.0000 7.0403" Properties=species:S:1:pos:R:3 pbc="T T T"
Li 0.0000 0.0000 0.0000
Li 3.7845 2.1899 0.0000
Li 3.7845 -2.1899 0.0000
Y 2.5251 4.3716 3.5201
Y 2.5251 -4.3716 3.5201
Pu 2.5251 0.0000 3.5201
Te 1.2487 2.2097 1.7129
Te -0.0254 0.0000 5.3302
Te 1.2487 -2.2097 1.7129
Te 3.8015 2.2097 5.3274
Te 5.0756 0.0000 1.7100
Te 3.8015 -2.2097 5.3274
```

Values from the calculation:
Uncorrected energy: -5.517 eV per atom
Energy relative to the elements, uncorrected: -1196 meV per atom
Density of states at the Fermi level: 14.65 states/eV/cell
Symmetry: C2/m (12)

2.
Here is a relaxed LiY2PuTe4 crystal from Alexandria via LeMat-Bulk. Energies are from PBE.

Structure (extended XYZ):
```
8
Lattice="7.5717 0.0000 0.0000 0.0000 4.3594 0.0000 -2.5375 0.0000 7.1736" Properties=species:S:1:pos:R:3 pbc="T T T"
Li 0.0000 0.0000 0.0000
Y -1.2687 2.1797 3.5868
Y 2.5171 0.0000 3.5868
Pu 3.7859 2.1797 0.0000
Te 1.2051 2.1797 1.7730
Te -0.0582 0.0000 5.3805
Te 5.0924 0.0000 1.7931
Te 3.8291 2.1797 5.4007
```

Values from the calculation:
Uncorrected energy: -6.478 eV per atom
Energy relative to the elements, uncorrected: -1261 meV per atom
Density of states at the Fermi level: 14.43 states/eV/cell
Symmetry: P2/m (10)

3.
Here is a relaxed LiY3Pu2Te6 crystal from Alexandria via LeMat-Bulk. Energies are from PBE.

Structure (extended XYZ):
```
12
Lattice="9.5672 -2.1847 0.0000 9.5672 2.1847 0.0000 -2.0838 0.0000 8.5402" Properties=species:S:1:pos:R:3 pbc="T T T"
Li 0.0000 0.0000 0.0000
Y -1.0419 0.0000 4.2701
Y 5.9777 0.0000 1.4399
Y 11.0729 0.0000 7.1003
Pu 5.0030 0.0000 5.7126
Pu 12.0476 0.0000 2.8276
Te 2.9568 0.0000 0.6415
Te 1.9606 0.0000 4.9809
Te 9.0021 0.0000 2.0798
Te 8.0485 0.0000 6.4605
Te 15.0900 0.0000 3.5593
Te 14.0938 0.0000 7.8987
```

Values from the calculation:
Uncorrected energy: -6.985 eV per atom
Energy relative to the elements, uncorrected: -1250 meV per atom
Density of states at the Fermi level: 25.25 states/eV/cell
Symmetry: C2/m (12)

Among the records above, which one has the lowest density of states at the Fermi level? LiY2PuTe4

Among the records above, which one has the lowest uncorrected energy? LiY3Pu2Te6

energy relative to the elements, uncorrected of number 1 (Li3Y2PuTe6)? -1196 meV per atom